The following is a PBE-GGA calculation of Sr3CeAl8 after structural relaxation, from Alexandria via LeMat-Bulk.

Calculated values
Formation energy, meV/atom: -266
E_tot, eV per atom: -3.676

The structure in CIF format:
```
data_Sr3CeAl8
_chemical_formula_sum 'Sr3 Ce1 Al8'
_cell_length_a 5.8207
_cell_length_b 5.8207
_cell_length_c 9.4166
_cell_angle_alpha 90.00
_cell_angle_beta 90.00
_cell_angle_gamma 120.00
_symmetry_space_group_name_H-M 'P 3 m 1'
_symmetry_Int_Tables_number 156
loop_
_symmetry_equiv_pos_as_xyz
'x,y,z'
'-y,x-y,z'
'-x+y,-x,z'
'-y,-x,z'
'-x+y,y,z'
'x,x-y,z'
loop_
_atom_site_label
_atom_site_fract_x
_atom_site_fract_y
_atom_site_fract_z
_atom_site_occupancy
Sr1 0.0000 0.0000 0.0000 1
Sr2 0.0000 0.0000 0.3671 1
Sr3 0.3333 0.6667 0.8658 1
Ce1 0.3333 0.6667 0.5057 1
Al1 0.0100 0.5050 0.1905 1
Al2 0.3274 0.1637 0.6775 1
Al3 0.6667 0.3333 0.4359 1
Al4 0.6667 0.3333 0.9405 1
```

The following is a PBE-GGA calculation of CaZrW after structural relaxation, from Alexandria via LeMat-Bulk.

Calculated values
Formation energy, meV/atom: 687
E_tot, eV per atom: -7.147

The structure in CIF format:
```
data_CaZrW
_chemical_formula_sum 'Ca1 Zr1 W1'
_cell_length_a 5.2075
_cell_length_b 5.2075
_cell_length_c 2.7346
_cell_angle_alpha 90.00
_cell_angle_beta 90.00
_cell_angle_gamma 120.00
_symmetry_space_group_name_H-M 'P 3 m 1'
_symmetry_Int_Tables_number 156
loop_
_symmetry_equiv_pos_as_xyz
'x,y,z'
'-y,x-y,z'
'-x+y,-x,z'
'-y,-x,z'
'-x+y,y,z'
'x,x-y,z'
loop_
_atom_site_label
_atom_site_fract_x
_atom_site_fract_y
_atom_site_fract_z
_atom_site_occupancy
Ca1 0.0000 0.0000 0.0000 1
Zr1 0.3333 0.6667 0.8336 1
W1 0.6667 0.3333 0.4106 1
```

The following is a PBE-GGA calculation of BaMnTc2Ru after structural relaxation, from Alexandria via LeMat-Bulk.

Calculated values
Formation energy, meV/atom: 1306
E_tot, eV per atom: -6.914

The structure in CIF format:
```
data_BaMnTc2Ru
_chemical_formula_sum 'Ba1 Mn1 Tc2 Ru1'
_cell_length_a 4.8264
_cell_length_b 4.8264
_cell_length_c 4.6449
_cell_angle_alpha 90.00
_cell_angle_beta 90.00
_cell_angle_gamma 90.00
_symmetry_space_group_name_H-M 'P 4/m m m'
_symmetry_Int_Tables_number 123
_symmetry_space_group_name_Hall '-P 4 2'
loop_
_atom_site_label
_atom_site_fract_x
_atom_site_fract_y
_atom_site_fract_z
_atom_site_occupancy
Ba1 0.0000 0.0000 0.0000 1
Mn1 0.5000 0.5000 0.0000 1
Tc1 0.0000 0.5000 0.5000 1
Ru1 0.5000 0.5000 0.5000 1
```

The following is a PBE-GGA calculation of LiEr2Ga4Au3 after structural relaxation, from Alexandria via LeMat-Bulk.

Calculated values
Formation energy, meV/atom: -563
E_tot, eV per atom: -3.861

The structure in CIF format:
```
data_LiEr2Ga4Au3
_chemical_formula_sum 'Li1 Er2 Ga4 Au3'
_cell_length_a 4.0872
_cell_length_b 4.0872
_cell_length_c 11.6062
_cell_angle_alpha 90.00
_cell_angle_beta 90.00
_cell_angle_gamma 90.00
_symmetry_space_group_name_H-M 'P -4 m 2'
_symmetry_Int_Tables_number 115
loop_
_symmetry_equiv_pos_as_xyz
'x,y,z'
'y,-x,-z'
'-x,-y,z'
'-y,x,-z'
'-x,y,z'
'-y,-x,-z'
'x,-y,z'
'y,x,-z'
loop_
_atom_site_label
_atom_site_fract_x
_atom_site_fract_y
_atom_site_fract_z
_atom_site_occupancy
Li1 0.0000 0.0000 0.0000 1
Er1 0.0000 0.5000 0.7515 1
Ga1 0.0000 0.0000 0.5000 1
Ga2 0.0000 0.5000 0.1373 1
Ga3 0.5000 0.5000 0.5000 1
Au1 0.0000 0.5000 0.3538 1
Au2 0.5000 0.5000 0.0000 1
```

The following is a PBE-GGA calculation of Co6SiIr after structural relaxation, from Alexandria via LeMat-Bulk.

Calculated values
Formation energy (no corrections), eV/f.u.: -0.81
E_tot, eV per atom: -7.217

The structure in CIF format:
```
data_Co6SiIr
_chemical_formula_sum 'Co48 Si8 Ir8'
_cell_length_a 7.0927
_cell_length_b 10.0923
_cell_length_c 10.0748
_cell_angle_alpha 90.00
_cell_angle_beta 90.00
_cell_angle_gamma 90.00
_symmetry_space_group_name_H-M 'C m m m'
_symmetry_Int_Tables_number 65
_symmetry_space_group_name_Hall '-C 2 2'
loop_
_atom_site_label
_atom_site_fract_x
_atom_site_fract_y
_atom_site_fract_z
_atom_site_occupancy
Co1 0.0000 0.0000 0.0000 1
Co2 0.0000 0.0000 0.5000 1
Co3 0.0000 0.2479 0.2454 1
Co4 0.0000 0.5000 0.0000 1
Co5 0.0000 0.5000 0.5000 1
Co6 0.2445 0.1236 0.3717 1
Co7 0.2466 0.1261 0.1224 1
Si1 0.0000 0.0000 0.2442 1
Si2 0.0000 0.2554 0.0000 1
Ir1 0.0000 0.2526 0.5000 1
Ir2 0.0000 0.5000 0.2469 1
```

The following is a PBE-GGA calculation of Ca2LaRh after structural relaxation, from Alexandria via LeMat-Bulk.

Calculated values
Formation energy, meV/atom: -120
E_tot, eV per atom: -4.190

The structure in CIF format:
```
data_Ca2LaRh
_chemical_formula_sum 'Ca2 La1 Rh1'
_cell_length_a 4.3932
_cell_length_b 4.3932
_cell_length_c 5.6067
_cell_angle_alpha 90.00
_cell_angle_beta 90.00
_cell_angle_gamma 90.00
_symmetry_space_group_name_H-M 'P 4/m m m'
_symmetry_Int_Tables_number 123
_symmetry_space_group_name_Hall '-P 4 2'
loop_
_atom_site_label
_atom_site_fract_x
_atom_site_fract_y
_atom_site_fract_z
_atom_site_occupancy
Ca1 0.0000 0.5000 0.0000 1
La1 0.0000 0.0000 0.5000 1
Rh1 0.5000 0.5000 0.5000 1
```

The following is a PBE-GGA calculation of VS2I after structural relaxation, from Alexandria via LeMat-Bulk.

Calculated values
Formation energy (no corrections), eV/f.u.: 2.45
E_tot, eV per atom: -4.118

The structure in CIF format:
```
data_VS2I
_chemical_formula_sum 'V4 S8 I4'
_cell_length_a 6.6626
_cell_length_b 6.6626
_cell_length_c 6.6626
_cell_angle_alpha 90.00
_cell_angle_beta 90.00
_cell_angle_gamma 90.00
_symmetry_space_group_name_H-M 'F m -3 m'
_symmetry_Int_Tables_number 225
_symmetry_space_group_name_Hall '-F 4 2 3'
loop_
_atom_site_label
_atom_site_fract_x
_atom_site_fract_y
_atom_site_fract_z
_atom_site_occupancy
V1 0.0000 0.0000 0.0000 1
S1 0.2500 0.2500 0.2500 1
I1 0.0000 0.0000 0.5000 1
```

The following is a PBE-GGA calculation of Nb2SiMoAu after structural relaxation, from Alexandria via LeMat-Bulk.

Calculated values
Formation energy (no corrections), eV/f.u.: 9.28
E_tot, eV per atom: -6.078

The structure in CIF format:
```
data_Nb2SiMoAu
_chemical_formula_sum 'Nb2 Si1 Mo1 Au1'
_cell_length_a 4.9267
_cell_length_b 4.9267
_cell_length_c 4.8375
_cell_angle_alpha 90.00
_cell_angle_beta 90.00
_cell_angle_gamma 90.00
_symmetry_space_group_name_H-M 'P 4/m m m'
_symmetry_Int_Tables_number 123
_symmetry_space_group_name_Hall '-P 4 2'
loop_
_atom_site_label
_atom_site_fract_x
_atom_site_fract_y
_atom_site_fract_z
_atom_site_occupancy
Nb1 0.0000 0.5000 0.0000 1
Si1 0.0000 0.0000 0.5000 1
Mo1 0.5000 0.5000 0.5000 1
Au1 0.5000 0.5000 0.0000 1
```

The following is a PBE-GGA calculation of TeIO2F after structural relaxation, from Alexandria via LeMat-Bulk.

Calculated values
Formation energy (no corrections), eV/f.u.: 3.81
E_tot, eV per atom: -2.534

The structure in CIF format:
```
data_TeIO2F
_chemical_formula_sum 'Te1 I1 O2 F1'
_cell_length_a 4.5528
_cell_length_b 4.5528
_cell_length_c 4.1838
_cell_angle_alpha 90.00
_cell_angle_beta 90.00
_cell_angle_gamma 90.00
_symmetry_space_group_name_H-M 'P 4/m m m'
_symmetry_Int_Tables_number 123
_symmetry_space_group_name_Hall '-P 4 2'
loop_
_atom_site_label
_atom_site_fract_x
_atom_site_fract_y
_atom_site_fract_z
_atom_site_occupancy
Te1 0.0000 0.0000 0.0000 1
I1 0.5000 0.5000 0.0000 1
O1 0.0000 0.5000 0.5000 1
F1 0.5000 0.5000 0.5000 1
```

The following is a PBE-GGA calculation of BeGe2Ir after structural relaxation, from Alexandria via LeMat-Bulk.

Calculated values
Formation energy, meV/atom: 433
E_tot, eV per atom: -5.022

The structure in CIF format:
```
data_BeGe2Ir
_chemical_formula_sum 'Be4 Ge8 Ir4'
_cell_length_a 5.7443
_cell_length_b 5.7443
_cell_length_c 9.5296
_cell_angle_alpha 90.00
_cell_angle_beta 90.00
_cell_angle_gamma 90.00
_symmetry_space_group_name_H-M 'I -4 2 d'
_symmetry_Int_Tables_number 122
_symmetry_space_group_name_Hall 'I -4 2bw'
loop_
_atom_site_label
_atom_site_fract_x
_atom_site_fract_y
_atom_site_fract_z
_atom_site_occupancy
Be1 0.0000 0.0000 0.0000 1
Ge1 0.2384 0.2500 0.1250 1
Ir1 0.0000 0.0000 0.5000 1
```

The following is a PBE-GGA calculation of Dy2YBr after structural relaxation, from Alexandria via LeMat-Bulk.

Calculated values
Formation energy (no corrections), eV/f.u.: -0.88
E_tot, eV per atom: -4.556

The structure in CIF format:
```
data_Dy2YBr
_chemical_formula_sum 'Dy6 Y3 Br3'
_cell_length_a 3.4892
_cell_length_b 3.4892
_cell_length_c 34.4518
_cell_angle_alpha 90.00
_cell_angle_beta 90.00
_cell_angle_gamma 120.00
_symmetry_space_group_name_H-M 'R -3 m'
_symmetry_Int_Tables_number 166
_symmetry_space_group_name_Hall '-R 3 2"'
loop_
_atom_site_label
_atom_site_fract_x
_atom_site_fract_y
_atom_site_fract_z
_atom_site_occupancy
Dy1 0.0000 0.0000 0.0981 1
Y1 0.0000 0.0000 0.0000 1
Br1 0.0000 0.0000 0.5000 1
```

The following is a PBE-GGA calculation of Ta2CN after structural relaxation, from Alexandria via LeMat-Bulk.

Calculated values
Formation energy (no corrections), eV/f.u.: -3.09
E_tot, eV per atom: -11.086

The structure in CIF format:
```
data_Ta2CN
_chemical_formula_sum 'Ta6 C3 N3'
_cell_length_a 3.0711
_cell_length_b 3.0711
_cell_length_c 16.4368
_cell_angle_alpha 90.00
_cell_angle_beta 90.00
_cell_angle_gamma 120.00
_symmetry_space_group_name_H-M 'R 3 m'
_symmetry_Int_Tables_number 160
_symmetry_space_group_name_Hall 'R 3 -2"'
loop_
_atom_site_label
_atom_site_fract_x
_atom_site_fract_y
_atom_site_fract_z
_atom_site_occupancy
Ta1 0.0000 0.0000 0.0000 1
Ta2 0.0000 0.0000 0.1770 1
C1 0.0000 0.0000 0.5880 1
N1 0.0000 0.0000 0.4185 1
```